1.
Material: NaMgHgPd
Method: DFT, PBE
State: optimized geometry

Values from the calculation:
calculated total energy	-0.0865	Ha/atom
spin magnetization	0.000	μB/f.u.
volume	19.6	A^3/atom
formation energy	-24	kJ per mole of atoms

a b c (Å): 4.801 4.801 4.801
angles (deg): 60.00 60.00 60.00
Fractional positions:
Hg: 0.000 0.000 0.000
Na: 0.750 0.750 0.750
Mg: 0.250 0.250 0.250
Pd: 0.500 0.500 0.500

***

2.
Material: Na2MgHg2Pd5
Method: DFT, PBE
State: optimized geometry

Values from the calculation:
calculated total energy	-0.1215	Ha/atom
spin magnetization	0.000	μB/f.u.
volume	19.4	A^3/atom
formation energy	-22	kJ per mole of atoms

a b c (Å): 4.080 9.762 9.762
angles (deg): 90.00 90.00 90.00
Fractional positions:
Pd: 0.500 0.000 0.500
Pd: 0.500 0.556 0.692
Na: 0.000 0.669 0.169
Hg: 0.000 0.868 0.368
Pd: 0.500 0.308 0.556
Pd: 0.500 0.444 0.308
Pd: 0.500 0.692 0.444
Pd: 0.500 0.944 0.192
Hg: 0.000 0.368 0.132
Pd: 0.500 0.056 0.808
Pd: 0.500 0.500 0.000
Na: 0.000 0.831 0.669
Mg: 0.000 0.500 0.500
Pd: 0.500 0.192 0.056
Na: 0.000 0.331 0.831
Hg: 0.000 0.632 0.868
Mg: 0.000 0.000 0.000
Na: 0.000 0.169 0.331
Pd: 0.500 0.808 0.944
Hg: 0.000 0.132 0.632